Ba2YAs: relaxed, PBE.

The space group is I4/mmm (No. 139) and the conventional cell measures 4.846, 4.846 and 11.573 Å, with angles of 90.00, 90.00 and 90.00 degrees. The distinct sites, in fractional coordinates, are Ba at (0.000, 0.500, 0.250), Y at (0.000, 0.000, 0.000) and As at (0.000, 0.000, 0.500).

---

Ba3YAs3: relaxed, PBE.

The space group is P2_1/c (No. 14) and the conventional cell measures 9.595, 8.364 and 13.355 Å, with angles of 90.00, 94.47 and 90.00 degrees. The distinct sites, in fractional coordinates, are Ba at (0.082, 0.157, 0.136), Ba at (0.335, 0.735, 0.798), Ba at (0.395, 0.232, 0.924), Y at (0.163, 0.595, 0.057), As at (0.102, 0.043, 0.368), As at (0.265, 0.602, 0.519) and As at (0.364, 0.081, 0.668).

---

BaZn2As2: relaxed, PBE.

The space group is I4/mmm (No. 139) and the conventional cell measures 4.171, 4.171 and 13.611 Å, with angles of 90.00, 90.00 and 90.00 degrees. The distinct sites, in fractional coordinates, are Ba at (0.000, 0.000, 0.000), Zn at (0.000, 0.500, 0.250) and As at (0.000, 0.000, 0.364).

---

BaZn2As: relaxed, PBE.

The space group is I4_1/amd (No. 141, origin choice 2) and the conventional cell measures 4.942, 4.942 and 18.476 Å, with angles of 90.00, 90.00 and 90.00 degrees. The distinct sites, in fractional coordinates, are Ba at (0.000, 0.250, 0.375), Zn at (0.000, 0.000, 0.000) and As at (0.000, 0.250, 0.875).

---

BaZnAs: relaxed, PBE.

The space group is Imm2 (No. 44) and the conventional cell measures 3.697, 3.851 and 11.366 Å, with angles of 90.00, 90.00 and 90.00 degrees. The distinct sites, in fractional coordinates, are Ba at (0.000, 0.000, 0.000), Zn at (0.000, 0.000, 0.295) and As at (0.000, 0.000, 0.704).

---

Ba2Zn2As3: relaxed, PBE.

The space group is C2/m (No. 12) and the conventional cell measures 17.174, 4.439 and 12.504 Å, with angles of 90.00, 126.49 and 90.00 degrees. The distinct sites, in fractional coordinates, are Ba at (0.107, 0.000, 0.446), Ba at (0.234, 0.000, 0.838), Zn at (0.037, 0.500, 0.814), Zn at (0.084, 0.000, 0.141), As at (0.070, 0.500, 0.622), As at (0.102, 0.000, 0.949) and As at (0.143, 0.500, 0.280).

---

Ba2ZnAs: relaxed, PBE.

For the energy relative to the lowest polymorph listed for this composition, the calculation gives 52 meV per atom.

The space group is P4/mmm (No. 123) and the conventional cell measures 4.148, 4.148 and 7.948 Å, with angles of 90.00, 90.00 and 90.00 degrees. The distinct sites, in fractional coordinates, are Ba at (0.000, 0.000, 0.219), Zn at (0.500, 0.500, 0.500) and As at (0.500, 0.500, 0.000).

---

Ba2ZnAs: relaxed, PBE.

For the energy relative to the lowest polymorph listed for this composition, the calculation gives 213 meV per atom.

The space group is P4mm (No. 99) and the conventional cell measures 4.844, 4.844 and 6.752 Å, with angles of 90.00, 90.00 and 90.00 degrees. The distinct sites, in fractional coordinates, are Ba at (0.000, 0.000, 0.000), Ba at (0.500, 0.500, 0.499), Zn at (0.500, 0.500, 0.000) and As at (0.000, 0.000, 0.500).

---

BaZnAs2: relaxed, PBE.

The space group is P4/mmm (No. 123) and the conventional cell measures 3.827, 3.827 and 6.738 Å, with angles of 90.00, 90.00 and 90.00 degrees. The distinct sites, in fractional coordinates, are Ba at (0.000, 0.000, 0.000), Zn at (0.000, 0.000, 0.500) and As at (0.500, 0.500, 0.318).

---

Ba2ZnAs: relaxed, PBE.

For the energy relative to the lowest polymorph listed for this composition, the calculation gives 210 meV per atom.

The space group is I-4m2 (No. 119) and the conventional cell measures 4.771, 4.771 and 11.652 Å, with angles of 90.00, 90.00 and 90.00 degrees. The distinct sites, in fractional coordinates, are Ba at (0.000, 0.000, 0.000), Ba at (0.000, 0.500, 0.250), Zn at (0.000, 0.500, 0.750) and As at (0.000, 0.000, 0.500).

---

BaZn2As: relaxed, PBE.

The space group is Pm (No. 6) and the conventional cell measures 4.069, 4.069 and 6.343 Å, with angles of 90.00, 90.01 and 90.00 degrees. The distinct sites, in fractional coordinates, are Ba at (0.000, 0.000, 0.000), Zn at (0.498, 0.000, 0.516), Zn at (0.999, 0.500, 0.515) and As at (0.500, 0.500, 0.248).

---

BaZnAs2: relaxed, PBE.

The space group is P4mm (No. 99) and the conventional cell measures 3.825, 3.825 and 7.030 Å, with angles of 90.00, 90.00 and 90.00 degrees. The distinct sites, in fractional coordinates, are Ba at (0.000, 0.000, 0.000), Zn at (0.500, 0.500, 0.307), As at (0.000, 0.000, 0.536) and As at (0.500, 0.500, 0.664).

---

BaZnAs2: relaxed, PBE.

The space group is Pm (No. 6) and the conventional cell measures 4.901, 4.802 and 5.016 Å, with angles of 90.00, 90.09 and 90.00 degrees. The distinct sites, in fractional coordinates, are Ba at (0.000, 0.000, 0.000), Zn at (0.498, 0.500, 0.647), As at (0.500, 0.000, 0.469) and As at (0.501, 0.500, 0.132).

---

Ba2ZnAs: relaxed, PBE.

For the energy relative to the lowest polymorph listed for this composition, the calculation gives 511 meV per atom.

The space group is F-43m (No. 216) and the conventional cell measures 8.003, 8.003 and 8.003 Å, with angles of 90.00, 90.00 and 90.00 degrees. The distinct sites, in fractional coordinates, are Ba at (0.000, 0.000, 0.000), Ba at (0.250, 0.250, 0.250), Zn at (0.250, 0.250, 0.750) and As at (0.000, 0.000, 0.500).

---

BaZn2As2: relaxed, PBE.

The space group is Fddd (No. 70, origin choice 2) and the conventional cell measures 8.462, 10.798 and 11.002 Å, with angles of 90.00, 90.00 and 90.00 degrees. The distinct sites, in fractional coordinates, are Ba at (0.125, 0.125, 0.125), Zn at (0.125, 0.256, 0.625) and As at (0.125, 0.125, 0.428).

---

BaZnAs2: relaxed, PBE.

The space group is C2/m (No. 12) and the conventional cell measures 6.830, 8.724 and 3.477 Å, with angles of 90.00, 90.38 and 90.00 degrees. The distinct sites, in fractional coordinates, are Ba at (0.000, 0.000, 0.000), Zn at (0.000, 0.500, 0.000) and As at (0.250, 0.250, 0.500).

---

BaZn2As: relaxed, PBE.

The space group is Pmm2 (No. 25) and the conventional cell measures 3.633, 3.841 and 7.094 Å, with angles of 90.00, 90.00 and 90.00 degrees. The distinct sites, in fractional coordinates, are Ba at (0.000, 0.000, 0.000), Zn at (0.000, 0.000, 0.516), Zn at (0.500, 0.500, 0.341) and As at (0.500, 0.500, 0.697).

---

BaZn2As: relaxed, PBE.

The space group is C2/m (No. 12) and the conventional cell measures 8.901, 4.140 and 5.931 Å, with angles of 90.00, 108.84 and 90.00 degrees. The distinct sites, in fractional coordinates, are Ba at (0.000, 0.000, 0.000), Zn at (0.214, 0.000, 0.628) and As at (0.000, 0.500, 0.500).

---

Ba2ZnAs: relaxed, PBE.

For the energy relative to the lowest polymorph listed for this composition, the calculation gives 0 meV per atom.

The space group is Cm (No. 8) and the conventional cell measures 12.383, 4.791 and 4.645 Å, with angles of 90.00, 90.01 and 90.00 degrees. The distinct sites, in fractional coordinates, are Ba at (0.000, 0.000, 0.000), Ba at (0.226, 0.500, 0.501), Zn at (0.294, 0.000, 0.002) and As at (0.433, 0.000, 0.500).

---

BaZn2As: relaxed, PBE.

The space group is Imm2 (No. 44) and the conventional cell measures 4.299, 6.536 and 7.874 Å, with angles of 90.00, 90.00 and 90.00 degrees. The distinct sites, in fractional coordinates, are Ba at (0.000, 0.000, 0.000), Zn at (0.000, 0.000, 0.513), Zn at (0.000, 0.500, 0.829) and As at (0.000, 0.500, 0.182).

---

BaZn2As: relaxed, PBE.

The space group is C2/m (No. 12) and the conventional cell measures 6.410, 11.520 and 3.423 Å, with angles of 90.00, 121.12 and 90.00 degrees. The distinct sites, in fractional coordinates, are Ba at (0.000, 0.000, 0.000), Zn at (0.250, 0.250, 0.500) and As at (0.000, 0.500, 0.000).

---

Ba4ZnAs4: relaxed, PBE.

The space group is P4_2/nmc (No. 137, origin choice 2) and the conventional cell measures 9.519, 9.519 and 6.845 Å, with angles of 90.00, 90.00 and 90.00 degrees. The distinct sites, in fractional coordinates, are Ba at (0.016, 0.250, 0.051), Zn at (0.250, 0.750, 0.250) and As at (0.023, 0.750, 0.452).

---

BaZnAs2: relaxed, PBE.

The space group is F-43m (No. 216) and the conventional cell measures 7.441, 7.441 and 7.441 Å, with angles of 90.00, 90.00 and 90.00 degrees. The distinct sites, in fractional coordinates, are Ba at (0.000, 0.000, 0.000), Zn at (0.250, 0.250, 0.750), As at (0.000, 0.000, 0.500) and As at (0.250, 0.250, 0.250).

---

BaZn2As2: relaxed, PBE.

The space group is P4/mbm (No. 127) and the conventional cell measures 8.056, 8.056 and 3.458 Å, with angles of 90.00, 90.00 and 90.00 degrees. The distinct sites, in fractional coordinates, are Ba at (0.000, 0.000, 0.000), Zn at (0.114, 0.386, 0.000) and As at (0.175, 0.675, 0.500).

---

BaZnAs2: relaxed, PBE.

The space group is Imm2 (No. 44) and the conventional cell measures 4.001, 5.488 and 9.917 Å, with angles of 90.00, 90.00 and 90.00 degrees. The distinct sites, in fractional coordinates, are Ba at (0.000, 0.000, 0.000), Zn at (0.000, 0.500, 0.795), As at (0.000, 0.000, 0.542) and As at (0.000, 0.500, 0.205).

---

BaZn2As: relaxed, PBE.

The space group is Cm (No. 8) and the conventional cell measures 7.589, 4.359 and 6.668 Å, with angles of 90.00, 112.23 and 90.00 degrees. The distinct sites, in fractional coordinates, are Ba at (0.000, 0.000, 0.000), Zn at (0.005, 0.500, 0.516), Zn at (0.216, 0.000, 0.650) and As at (0.287, 0.500, 0.361).

---

Number 1: M_tot 0.00 Bohr magnetons per cell, ΔH_f (0 K) -0.154 eV/atom. Number 2: M_tot 0.00 Bohr magnetons per cell, ΔH_f (0 K) -1.169 eV/atom. Number 3: M_tot 0.00 Bohr magnetons per cell, ΔH_f (0 K) -0.645 eV/atom. Number 4: M_tot 0.00 Bohr magnetons per cell, ΔH_f (0 K) -0.364 eV/atom. Number 5: M_tot 0.00 Bohr magnetons per cell, ΔH_f (0 K) -0.331 eV/atom. Number 6: M_tot 0.00 Bohr magnetons per cell, ΔH_f (0 K) -0.777 eV/atom. Number 7: M_tot 0.00 Bohr magnetons per cell, ΔH_f (0 K) -0.601 eV/atom. Number 8: M_tot 0.00 Bohr magnetons per cell, ΔH_f (0 K) -0.440 eV/atom. Number 9: M_tot 0.00 Bohr magnetons per cell, ΔH_f (0 K) -0.268 eV/atom. Number 10: M_tot 0.32 Bohr magnetons per cell, ΔH_f (0 K) -0.443 eV/atom. Number 11: M_tot 0.00 Bohr magnetons per cell, ΔH_f (0 K) -0.348 eV/atom. Number 12: M_tot 0.00 Bohr magnetons per cell, ΔH_f (0 K) -0.237 eV/atom. Number 13: M_tot 0.00 Bohr magnetons per cell, ΔH_f (0 K) -0.478 eV/atom. Number 14: M_tot 0.00 Bohr magnetons per cell, ΔH_f (0 K) -0.142 eV/atom. Number 15: M_tot 0.00 Bohr magnetons per cell, ΔH_f (0 K) -0.632 eV/atom. Number 16: M_tot 0.00 Bohr magnetons per cell, ΔH_f (0 K) -0.086 eV/atom. Number 17: M_tot 0.00 Bohr magnetons per cell, ΔH_f (0 K) -0.198 eV/atom. Number 18: M_tot 0.00 Bohr magnetons per cell, ΔH_f (0 K) -0.295 eV/atom. Number 19: M_tot 0.64 Bohr magnetons per cell, ΔH_f (0 K) -0.653 eV/atom. Number 20: M_tot 0.00 Bohr magnetons per cell, ΔH_f (0 K) -0.315 eV/atom. Number 21: M_tot 0.00 Bohr magnetons per cell, ΔH_f (0 K) 0.031 eV/atom. Number 22: M_tot 0.00 Bohr magnetons per cell, ΔH_f (0 K) -0.894 eV/atom. Number 23: M_tot 0.00 Bohr magnetons per cell, ΔH_f (0 K) -0.081 eV/atom. Number 24: M_tot 0.00 Bohr magnetons per cell, ΔH_f (0 K) -0.222 eV/atom. Number 25: M_tot 0.00 Bohr magnetons per cell, ΔH_f (0 K) -0.332 eV/atom. Number 26: M_tot 0.00 Bohr magnetons per cell, ΔH_f (0 K) -0.388 eV/atom.